Record 1
Density functional theory data (PBE-GGA) for FeCu2W after structural relaxation.

abc: 2.6055 2.6055 7.9649
angles: 90.00 90.00 102.86
Closest atoms and distances in Å follow each position.
Fractional coordinates of all 4 atoms:
Fe  0.0000  0.0000  0.4881  4 Cu 2.49-2.78, 4 Fe 2.61, 2 W 2.63
Cu  0.0000  0.0000  0.0135  8 Cu 2.49-2.78, 2 W 2.67
W  0.5000  0.5000  0.7473  4 W 2.61, 4 Fe 2.63-2.90, 2 Cu 2.67
Cu  0.5000  0.5000  0.2511  4 Fe 2.49-2.78, 8 Cu 2.49-2.78

Computed properties:
The calculation puts the density of states at the Fermi level at 2.6 states/eV/f.u. Its crystal system is orthorhombic. Its formation enthalpy at 0 K is 0.21 eV/atom. The distance to the lowest polymorph of the same formula is 0.0 meV/atom. Its final energy is -7.20 eV/atom. Its space group is Cmm2. The total magnetic moment comes out at 0.5868 μB/atom.

Record 2
Density functional theory data (PBE-GGA) for NaTi3Si after structural relaxation.

abc: 4.7788 4.7788 4.7788
angles: 90.00 90.00 90.00
Closest atoms and distances in Å follow each position.
Fractional coordinates of all 5 atoms:
Ti  0.0000  0.0000  0.5000  2 Si 2.39
Ti  0.0000  0.5000  0.0000  2 Si 2.39
Ti  0.5000  0.0000  0.0000  2 Si 2.39
Na  0.5000  0.5000  0.5000  12 Ti 3.38
Si  0.0000  0.0000  0.0000  6 Ti 2.39

Computed properties:
The calculation puts the density of states at the Fermi level at 9.1 states/eV/f.u. Its crystal system is cubic. The distance to the lowest polymorph of the same formula is 0.0 meV/atom. Its final energy is -5.58 eV/atom. Its space group is Pm-3m. The total magnetic moment comes out at 0.0000 μB/atom.

Record 3
Density functional theory data (PBE-GGA) for BaSn2SbPd after structural relaxation.

abc: 6.1578 6.1009 6.1578
angles: 90.00 90.00 90.00
Closest atoms and distances in Å follow each position.
Fractional coordinates of all 5 atoms:
Sb  0.0000  0.5000  0.0000  2 Ba 3.05
Sn  0.0000  0.0000  0.5000  2 Ba 3.08
Sn  0.5000  0.0000  0.0000  2 Ba 3.08
Pd  0.5000  0.5000  0.5000  8 Sn 4.33, 4 Sb 4.35
Ba  0.0000  0.0000  0.0000  2 Sb 3.05, 4 Sn 3.08

Computed properties:
The calculation puts the density of states at the Fermi level at 4.4 states/eV/f.u. Its crystal system is tetragonal. Its final energy is -2.55 eV/atom. Its space group is P4/mmm. The total magnetic moment comes out at 0.0000 μB/atom.

Record 4
Density functional theory data (PBE-GGA) for Cd2CuOs after structural relaxation.

abc: 2.7650 4.2120 5.7380
angles: 90.00 90.00 90.00
Closest atoms and distances in Å follow each position.
Fractional coordinates of all 4 atoms:
Cd  0.0000  0.0000  0.4980  4 Cd 2.77-2.89, 4 Cu 2.89, 4 Os 2.90
Os  0.5000  0.5000  0.7500  2 Os 2.77, 2 Cu 2.87, 8 Cd 2.90
Cd  0.0000  0.0000  0.0020  4 Cd 2.77-2.89, 4 Cu 2.89, 4 Os 2.90
Cu  0.5000  0.5000  0.2500  2 Cu 2.77, 2 Os 2.87, 8 Cd 2.89

Computed properties:
The calculation puts the density of states at the Fermi level at 1.5 states/eV/f.u. Its crystal system is orthorhombic. Its formation enthalpy at 0 K is 0.47 eV/atom. The distance to the lowest polymorph of the same formula is 77.4 meV/atom. Its final energy is -3.82 eV/atom. Its space group is Pmmm. The total magnetic moment comes out at 0.0000 μB/atom.

Record 5
Density functional theory data (PBE-GGA) for La2TlW after structural relaxation.

abc: 5.3643 5.3643 5.3643
angles: 60.00 60.00 60.00
Closest atoms and distances in Å follow each position.
Fractional coordinates of all 4 atoms:
W  0.0000  0.0000  0.0000  8 La 3.28
La  0.7500  0.7500  0.7500  4 Tl 3.28, 4 W 3.28
Tl  0.5000  0.5000  0.5000  8 La 3.28
La  0.2500  0.2500  0.2500  4 Tl 3.28, 4 W 3.28

Computed properties:
The calculation puts the density of states at the Fermi level at 6.4 states/eV/f.u. Its crystal system is cubic. Its formation enthalpy at 0 K is 0.41 eV/atom. The distance to the lowest polymorph of the same formula is 122.2 meV/atom. Its final energy is -5.89 eV/atom. Its space group is Fm-3m. The total magnetic moment comes out at 0.0002 μB/atom.

Record 6
Density functional theory data (PBE-GGA) for Pm2InGaO6 after structural relaxation.

abc: 5.0510 5.3536 5.3536
angles: 90.00 90.00 90.00
Closest atoms and distances in Å follow each position.
Fractional coordinates of all 10 atoms:
O  0.7296  0.2407  0.7593  1 Ga 1.97, 1 In 2.13
Pm  0.0035  0.5000  0.0000  4 O 2.35
Ga  0.5834  0.0000  0.0000  5 O 1.87-1.97
In  0.5664  0.5000  0.5000  5 O 2.06-2.13
O  0.1579  0.5000  0.5000  1 In 2.06
O  0.7296  0.7593  0.7593  1 Ga 1.97, 1 In 2.13
Pm  0.0035  0.0000  0.5000  4 O 2.35
O  0.7296  0.2407  0.2407  1 Ga 1.97, 1 In 2.13
O  0.2138  0.0000  0.0000  1 Ga 1.87
O  0.7296  0.7593  0.2407  1 Ga 1.97, 1 In 2.13

Computed properties:
The calculation puts the density of states at the Fermi level at 0.0 states/eV/f.u. Its crystal system is tetragonal. Its final energy is -6.93 eV/atom. Its space group is P4mm. The total magnetic moment comes out at 0.0000 μB/atom.

Record 7
Density functional theory data (PBE-GGA) for Mg3Os after structural relaxation.

abc: 5.1966 5.1966 5.1966
angles: 90.00 90.00 90.00
Closest atoms and distances in Å follow each position.
Fractional coordinates of all 8 atoms:
Mg  0.5000  0.0000  0.7500  2 Mg 2.60, 4 Os 2.90
Mg  0.2500  0.5000  0.0000  2 Mg 2.60, 4 Os 2.90
Mg  0.0000  0.7500  0.5000  2 Mg 2.60, 4 Os 2.90
Mg  0.7500  0.5000  0.0000  2 Mg 2.60, 4 Os 2.90
Mg  0.5000  0.0000  0.2500  2 Mg 2.60, 4 Os 2.90
Os  0.5000  0.5000  0.5000  12 Mg 2.90
Os  0.0000  0.0000  0.0000  12 Mg 2.90
Mg  0.0000  0.2500  0.5000  2 Mg 2.60, 4 Os 2.90

Computed properties:
The calculation puts the density of states at the Fermi level at 1.5 states/eV/f.u. Its crystal system is cubic. Its formation enthalpy at 0 K is 0.22 eV/atom. Its final energy is -3.78 eV/atom. Its space group is Pm-3n. The total magnetic moment comes out at 0.0000 μB/atom.

Record 8
Density functional theory data (PBE-GGA) for AsIr2Au after structural relaxation.

abc: 7.0943 7.0943 5.6864
angles: 51.41 51.41 90.00
Closest atoms and distances in Å follow each position.
Fractional coordinates of all 8 atoms:
Ir  0.1687  0.6250  0.2500  2 As 2.39
Ir  0.8750  0.8313  0.7500  2 As 2.39
As  0.5000  0.5000  0.0000  4 Ir 2.39, 2 Au 2.68
Au  0.0000  0.0000  0.0000  2 As 2.68, 4 Ir 2.82
Au  0.7500  0.2500  0.5000  2 As 2.68, 4 Ir 2.82
As  0.2500  0.7500  0.5000  4 Ir 2.39, 2 Au 2.68
Ir  0.3750  0.4187  0.7500  2 As 2.39
Ir  0.5813  0.1250  0.2500  2 As 2.39

Computed properties:
The calculation puts the density of states at the Fermi level at 0.2 states/eV/f.u. Its crystal system is tetragonal. Its formation enthalpy at 0 K is 0.29 eV/atom. Its final energy is -6.12 eV/atom. Its space group is I-42d. The total magnetic moment comes out at 0.0000 μB/atom.

Record 9
Density functional theory data (PBE-GGA) for Cs3Cu2F7 after structural relaxation.

abc: 4.2586 4.3285 12.1642
angles: 100.25 90.00 90.00
Closest atoms and distances in Å follow each position.
Fractional coordinates of all 12 atoms:
Cu  0.0000  0.9132  0.8265  6 F 1.97-2.16
F  0.0000  0.4111  0.8222  2 Cu 2.16
F  0.0000  0.8307  0.6615  1 Cu 1.97
Cu  0.0000  0.0868  0.1735  6 F 1.97-2.16
F  0.5000  0.0887  0.1775  2 Cu 2.13
F  0.0000  0.5889  0.1778  2 Cu 2.16
Cs  0.5000  0.6767  0.3535  8 F 2.99-3.04
Cs  0.5000  0.3233  0.6465  8 F 2.99-3.04
F  0.0000  0.0000  0.0000  2 Cu 2.08
Cs  0.5000  0.5000  0.0000  12 F 3.01-3.04
F  0.5000  0.9113  0.8225  2 Cu 2.13
F  0.0000  0.1693  0.3385  1 Cu 1.97

Computed properties:
The calculation puts the density of states at the Fermi level at 1.9 states/eV/f.u. Its crystal system is orthorhombic. The distance to the lowest polymorph of the same formula is 9.7 meV/atom. Its final energy is -4.13 eV/atom. Its space group is Cmmm. The total magnetic moment comes out at 0.1688 μB/atom.

Record 10
Density functional theory data (PBE-GGA) for NpZn2FeH8 after structural relaxation.

abc: 4.2775 4.4561 6.1558
angles: 56.54 89.01 90.45
Closest atoms and distances in Å follow each position.
Fractional coordinates of all 12 atoms:
H  0.2431  0.8575  0.8814  1 Fe 1.59
H  0.7569  0.1425  0.1186  1 Fe 1.59
H  0.9527  0.3441  0.7021  1 Fe 1.63
Np  0.0000  0.0000  0.5000  12 H 2.33-2.47
Fe  0.0000  0.0000  0.0000  6 H 1.59-1.63
H  0.2042  0.2435  0.0609  1 Fe 1.59
Zn  0.4995  0.6876  0.2217  1 H 1.71
Zn  0.5005  0.3124  0.7783  1 H 1.71
H  0.0473  0.6559  0.2979  1 Fe 1.63
H  0.7958  0.7565  0.9391  1 Fe 1.59
H  0.5041  0.2379  0.4578  1 Zn 1.71, 1 H 1.88
H  0.4959  0.7621  0.5422  1 Zn 1.71, 1 H 1.88

Computed properties:
The calculation puts the density of states at the Fermi level at 7.9 states/eV/f.u. Its crystal system is triclinic. Its final energy is -4.25 eV/atom. Its space group is P-1. The total magnetic moment comes out at 0.3998 μB/atom.

Record 11
Density functional theory data (PBE-GGA) for PmCd12Hg6 after structural relaxation.

abc: 8.0151 8.0151 8.0151
angles: 103.24 103.24 103.24
Closest atoms and distances in Å follow each position.
Fractional coordinates of all 19 atoms:
Cd  0.5888  0.1900  0.5862  5 Cd 2.90-3.11, 1 Hg 3.16
Hg  0.5762  0.8324  0.8350  7 Cd 3.11-3.28, 1 Pm 3.18, 2 Hg 3.24
Pm  0.0000  0.0000  0.0000  6 Hg 3.18, 6 Cd 3.34
Cd  0.2656  0.9984  0.7337  6 Cd 3.10-3.34, 4 Hg 3.11-3.24, 1 Pm 3.34
Cd  0.8100  0.4138  0.4112  5 Cd 2.90-3.11, 1 Hg 3.16
Hg  0.4238  0.1676  0.1650  7 Cd 3.11-3.28, 1 Pm 3.18, 2 Hg 3.24
Cd  0.4138  0.4112  0.8100  5 Cd 2.90-3.11, 1 Hg 3.16
Cd  0.0016  0.2663  0.7344  6 Cd 3.10-3.34, 4 Hg 3.11-3.24, 1 Pm 3.34
Cd  0.7337  0.2656  0.9984  6 Cd 3.10-3.34, 4 Hg 3.11-3.24, 1 Pm 3.34
Hg  0.1650  0.4238  0.1676  7 Cd 3.11-3.28, 1 Pm 3.18, 2 Hg 3.24
Cd  0.1900  0.5862  0.5888  5 Cd 2.90-3.11, 1 Hg 3.16
Hg  0.8324  0.8350  0.5762  7 Cd 3.11-3.28, 1 Pm 3.18, 2 Hg 3.24
Cd  0.9984  0.7337  0.2656  6 Cd 3.10-3.34, 4 Hg 3.11-3.24, 1 Pm 3.34
Cd  0.2663  0.7344  0.0016  6 Cd 3.10-3.34, 4 Hg 3.11-3.24, 1 Pm 3.34
Hg  0.8350  0.5762  0.8324  7 Cd 3.11-3.28, 1 Pm 3.18, 2 Hg 3.24
Cd  0.4112  0.8100  0.4138  5 Cd 2.90-3.11, 1 Hg 3.16
Cd  0.5862  0.5888  0.1900  5 Cd 2.90-3.11, 1 Hg 3.16
Hg  0.1676  0.1650  0.4238  7 Cd 3.11-3.28, 1 Pm 3.18, 2 Hg 3.24
Cd  0.7344  0.0016  0.2663  6 Cd 3.10-3.34, 4 Hg 3.11-3.24, 1 Pm 3.34

Computed properties:
The calculation puts the density of states at the Fermi level at 4.8 states/eV/f.u. Its crystal system is trigonal. Its formation enthalpy at 0 K is -0.05 eV/atom. The distance to the lowest polymorph of the same formula is 0.0 meV/atom. Its final energy is -0.98 eV/atom. Its space group is R-3. The total magnetic moment comes out at 0.0000 μB/atom.

Record 12
Density functional theory data (PBE-GGA) for Cs14KAu after structural relaxation.

abc: 10.6967 10.6967 14.7784
angles: 90.00 90.00 104.62
Closest atoms and distances in Å follow each position.
Fractional coordinates of all 16 atoms:
Cs  0.5720  0.4280  0.0000  10 Cs 5.23-5.52
Cs  0.1336  0.3913  0.5000  1 Au 3.89
Cs  0.8146  0.5431  0.3232  1 Au 4.11
Cs  0.1011  0.8989  0.0000  8 Cs 5.23-5.48
Cs  0.4569  0.1854  0.3232  1 Au 4.11
Cs  0.3321  0.6679  0.2353  8 Cs 5.04-5.51, 1 K 5.18
Cs  0.6248  0.9547  0.0000  9 Cs 5.14-5.52
Cs  0.3321  0.6679  0.7647  8 Cs 5.04-5.51, 1 K 5.18
Cs  0.4569  0.1854  0.6768  1 Au 4.11
Cs  0.6087  0.8664  0.5000  1 Au 3.89
Cs  0.9066  0.0934  0.7074  1 Au 3.92
Cs  0.0453  0.3752  0.0000  9 Cs 5.14-5.52
Cs  0.9066  0.0934  0.2926  1 Au 3.92
Au  0.7627  0.2373  0.5000  8 Cs 3.89-4.11
K  0.1314  0.8686  0.5000  10 Cs 4.89-5.18
Cs  0.8146  0.5431  0.6768  1 Au 4.11

Computed properties:
The calculation puts the density of states at the Fermi level at 17.4 states/eV/f.u. Its crystal system is orthorhombic. Its formation enthalpy at 0 K is -0.02 eV/atom. Its final energy is -1.04 eV/atom. Its space group is Amm2. The total magnetic moment comes out at 0.0000 μB/atom.